1.
Here is a geometry-optimized NbZn2Pt2 structure from Alexandria. Energies are from PBE.

Cell lengths 7.484, 7.484, 2.826 Å; angles 90.00, 90.00, 90.00 degrees
Fractional positions:
Nb 0.000 0.000 0.000
Nb 0.500 0.500 0.000
Zn 0.162 0.662 0.500
Zn 0.662 0.838 0.500
Zn 0.838 0.338 0.500
Zn 0.338 0.162 0.500
Pt 0.363 0.863 0.000
Pt 0.863 0.637 0.000
Pt 0.637 0.137 0.000
Pt 0.137 0.363 0.000

## Properties
The energy relative to the elements comes out at -148 kJ/mol of formula units. For the spin magnetization, the calculation gives 0.000 μB per atom.

=====

2.
Here is a geometry-optimized NbZnPt2 structure from Alexandria. Energies are from PBE.

Cell lengths 2.862, 2.862, 7.621 Å; angles 90.00, 90.00, 90.00 degrees
Fractional positions:
Nb 0.500 0.500 0.500
Zn 0.500 0.500 0.000
Pt 0.000 0.000 0.760
Pt 0.000 0.000 0.240

## Properties
The energy relative to the elements comes out at -250 kJ/mol of formula units. For the spin magnetization, the calculation gives 0.000 μB per atom.

=====

3.
Here is a geometry-optimized NbZnPt2 structure from Alexandria. Energies are from PBE.

Cell lengths 2.819, 4.793, 4.793 Å; angles 90.00, 90.00, 90.00 degrees
Fractional positions:
Nb 0.500 0.500 0.500
Zn 0.500 0.000 0.000
Pt 0.000 0.000 0.500
Pt 0.000 0.500 0.000

## Properties
The energy relative to the elements comes out at -176 kJ/mol of formula units. For the spin magnetization, the calculation gives 0.000 μB per atom.

=====

4.
Here is a geometry-optimized NbZnPt2 structure from Alexandria. Energies are from PBE.

Cell lengths 3.515, 3.515, 7.055 Å; angles 75.57, 75.57, 60.00 degrees
Fractional positions:
Nb 0.667 0.667 0.000
Zn 0.500 0.500 0.499
Pt 0.083 0.083 0.750
Pt 0.249 0.249 0.252

## Properties
The energy relative to the elements comes out at -95 kJ/mol of formula units. For the spin magnetization, the calculation gives 0.000 μB per atom.

=====

5.
Here is a geometry-optimized Nb4ZnPt5 structure from Alexandria. Energies are from PBE.

Cell lengths 3.479, 3.479, 13.851 Å; angles 90.00, 90.00, 90.00 degrees
Fractional positions:
Nb 0.000 0.000 0.201
Nb 0.000 0.000 0.399
Nb 0.000 0.000 0.601
Nb 0.000 0.000 0.799
Zn 0.000 0.000 0.000
Pt 0.500 0.500 0.098
Pt 0.500 0.500 0.298
Pt 0.500 0.500 0.500
Pt 0.500 0.500 0.702
Pt 0.500 0.500 0.902

## Properties
The energy relative to the elements comes out at -452 kJ/mol of formula units. For the spin magnetization, the calculation gives 0.000 μB per atom.

=====

6.
Here is a geometry-optimized NbZn5Pt4 structure from Alexandria. Energies are from PBE.

Cell lengths 2.877, 3.494, 14.892 Å; angles 90.00, 90.00, 90.00 degrees
Fractional positions:
Nb 0.000 0.000 0.000
Zn 0.500 0.500 0.113
Zn 0.500 0.500 0.305
Zn 0.500 0.500 0.500
Zn 0.500 0.500 0.695
Zn 0.500 0.500 0.887
Pt 0.000 0.000 0.206
Pt 0.000 0.000 0.402
Pt 0.000 0.000 0.598
Pt 0.000 0.000 0.794

## Properties
The energy relative to the elements comes out at -425 kJ/mol of formula units. For the spin magnetization, the calculation gives 0.000 μB per atom.

=====

7.
Here is a geometry-optimized NbZn2Pt2 structure from Alexandria. Energies are from PBE.

Cell lengths 7.442, 7.442, 2.798 Å; angles 90.00, 90.00, 90.00 degrees
Fractional positions:
Nb 0.000 0.000 0.000
Nb 0.500 0.500 0.000
Zn 0.380 0.880 0.000
Zn 0.880 0.620 0.000
Zn 0.620 0.120 0.000
Zn 0.120 0.380 0.000
Pt 0.179 0.679 0.500
Pt 0.679 0.821 0.500
Pt 0.821 0.321 0.500
Pt 0.321 0.179 0.500

## Properties
The energy relative to the elements comes out at -201 kJ/mol of formula units. For the spin magnetization, the calculation gives 0.000 μB per atom.

=====

8.
Here is a geometry-optimized Zr2NbPt9 structure from Alexandria. Energies are from PBE.

Cell lengths 4.033, 4.033, 12.132 Å; angles 90.00, 90.00, 90.00 degrees
Fractional positions:
Zr 0.000 0.000 0.333
Zr 0.000 0.000 0.667
Nb 0.000 0.000 0.000
Pt 0.500 0.500 0.000
Pt 0.500 0.500 0.332
Pt 0.500 0.500 0.668
Pt 0.500 0.000 0.163
Pt 0.500 0.000 0.500
Pt 0.500 0.000 0.837
Pt 0.000 0.500 0.163
Pt 0.000 0.500 0.500
Pt 0.000 0.500 0.837

## Properties
The energy relative to the elements comes out at -988 kJ/mol of formula units. For the spin magnetization, the calculation gives 0.000 μB per atom.